The following is a DFT calculation (GGA-PBE) of a relaxed structure of Sm2FeB10.

```
26
Lattice="4.1762 0.0000 0.0000 0.0000 5.6176 0.0000 0.0000 0.0000 11.1833" Properties=species:S:1:pos:R:3 pbc="T T T"
B 1.2462 1.1447 1.2651
B 0.0000 5.4250 9.1014
B 0.0000 0.1926 2.0819
B 0.0000 3.6765 8.9711
B 2.9301 4.4729 9.9182
B 0.0000 0.8677 7.8038
B 0.0000 2.0877 0.4429
B 0.0000 4.7499 3.3795
B 1.2462 1.6641 6.8568
B 1.2462 3.9535 4.3265
B 2.9301 1.6641 6.8568
B 1.2462 4.4729 9.9182
B 2.9301 1.1447 1.2651
B 2.9301 3.9535 4.3265
B 0.0000 0.7211 6.0346
B 0.0000 1.9411 2.2121
B 0.0000 2.6162 7.6735
B 0.0000 3.5299 10.7404
B 0.0000 4.8965 5.1487
B 0.0000 3.0014 3.5098
Sm 2.0881 4.4344 7.0574
Sm 2.0881 3.9920 1.4657
Sm 2.0881 1.6256 9.7176
Sm 2.0881 1.1832 4.1259
Fe 0.0000 0.0000 0.0000
Fe 0.0000 2.8088 5.5916
```

Computed properties:
- final energy (Ha/atom) = -0.2584
- total moment (μB per formula unit) = 0.00
- formation enthalpy at 0 K (meV per atom) = -518
- calculated density (kg/m³) = 5882
- space group = Pbam